No. 1
A plane-wave DFT calculation with PBE was carried out for a geometry-optimized CrCo2Ru structure.

Summary:
The calculation puts the total energy at -32.5 eV for the cell shown. Its energy relative to the elements is 0.144 eV per atom. For the energy above the most stable polymorph in this dataset, the calculation gives 93 meV/atom. Its density is 9.51 g/cm³.

Cell lengths 2.5888, 2.5888, 7.0614 Å; angles 90.00, 90.00, 90.00 degrees
Last column: nearest neighbours and their distance in Å.
Space group P4mm (No. 99)
Unique sites:
Cr: 0.0000 0.0000 0.0000 x1  4 Co 2.48, 4 Cr 2.59, 4 Ru 2.62
Co: 0.0000 0.0000 0.5280 x1  8 Co 2.47-2.59, 4 Ru 2.61
Co: 0.5000 0.5000 0.7635 x1  8 Co 2.47-2.59, 4 Cr 2.48
Ru: 0.5000 0.5000 0.2649 x1  4 Ru 2.59, 4 Co 2.61, 4 Cr 2.62

---

No. 2
A plane-wave DFT calculation with PBE was carried out for a geometry-optimized Sm4Dy2Tm3 structure.

Summary:
The calculation puts the total energy at -164.3 eV for the cell shown. Its energy relative to the elements is 0.046 eV per atom. For the energy above the most stable polymorph in this dataset, the calculation gives 0 meV/atom. Its density is 8.29 g/cm³.

Cell lengths 9.7202, 16.8397, 7.0190 Å; angles 90.00, 90.00, 90.00 degrees
Last column: nearest neighbours and their distance in Å.
Space group Cccm (No. 66)
Unique sites:
Sm: 0.1455 0.1743 0.0000 x8  2 Sm 3.24-3.26, 3 Dy 3.27-3.54, 2 Tm 3.47
Sm: 0.1652 0.4839 0.0000 x8  4 Sm 3.24-3.55, 1 Dy 3.28, 2 Tm 3.51
Dy: 0.1898 0.1598 0.5000 x8  1 Dy 3.26, 4 Sm 3.27-3.54, 2 Tm 3.49
Tm: 0.0000 0.0000 0.2500 x4  2 Tm 3.51, 8 Sm 3.70-3.71, 4 Dy 3.70
Tm: 0.0000 0.3310 0.2500 x8  6 Sm 3.47-3.87, 4 Dy 3.49-3.85, 2 Tm 3.51

---

No. 3
A plane-wave DFT calculation with PBE was carried out for a geometry-optimized SiAs2O structure.

Summary:
The calculation puts the total energy at -73.3 eV for the cell shown. For the energy above the most stable polymorph in this dataset, the calculation gives 259 meV/atom. Its density is 5.64 g/cm³. As for the energy relative to the elements, uncorrected: 0.34 eV per atom.

Cell lengths 6.1133, 6.1133, 6.1133 Å; angles 90.00, 90.00, 90.00 degrees
Last column: nearest neighbours and their distance in Å.
Space group Fm-3m (No. 225)
Unique sites:
Si: 0.0000 0.0000 0.0000 x4  8 As 2.65
As: 0.2500 0.2500 0.2500 x8  4 Si 2.65, 4 O 2.65
O: 0.0000 0.0000 0.5000 x4  8 As 2.65

---

No. 4
A plane-wave DFT calculation with PBE was carried out for a geometry-optimized BaMgGa2Ag structure.

Summary:
The calculation puts the total energy at -28.2 eV for the cell shown. Its energy relative to the elements is -0.335 eV per atom. Its density is 5.48 g/cm³.

Cell lengths 4.5212, 4.6571, 11.7607 Å; angles 90.00, 90.00, 90.00 degrees
Last column: nearest neighbours and their distance in Å.
Space group Imm2 (No. 44)
Unique sites:
Ba: 0.0000 0.0000 0.0000 x2  8 Ga 3.51-3.76, 4 Ag 3.54, 4 Mg 3.64-3.81
Mg: 0.0000 0.5000 0.7431 x2  2 Ag 2.78, 2 Ga 2.78
Ga: 0.0000 0.0000 0.6140 x2  2 Ga 2.73, 1 Ag 2.75, 2 Mg 2.78
Ga: 0.0000 0.5000 0.2442 x2  2 Ga 2.73, 2 Ag 2.83
Ag: 0.0000 0.0000 0.3803 x2  3 Ga 2.75-2.83, 2 Mg 2.78

---

No. 5
A plane-wave DFT calculation with PBE was carried out for a geometry-optimized Tl2SeCl5 structure.

Summary:
The calculation puts the total energy at -45.2 eV for the cell shown. For the energy above the most stable polymorph in this dataset, the calculation gives 0 meV/atom. Its density is 3.91 g/cm³. As for the energy relative to the elements, uncorrected: -0.65 eV per atom.

Cell lengths 10.2442, 10.2895, 5.4890 Å; angles 90.00, 102.40, 90.00 degrees
Last column: nearest neighbours and their distance in Å.
Space group Cm (No. 8)
Unique sites:
Tl: 0.0000 0.2270 0.0000 x4  5 Cl 3.20-3.43
Se: 0.2853 0.5000 0.3803 x2  4 Cl 2.43-2.45
Cl: 0.0301 0.0000 0.4656 x2  1 Se 2.45
Cl: 0.0422 0.5000 0.2925 x2  1 Se 2.43
Cl: 0.2824 0.5000 0.8795 x2  2 Se 2.74-2.75
Cl: 0.2921 0.2622 0.3795 x4  1 Se 2.45

---

No. 6
A plane-wave DFT calculation with PBE was carried out for a geometry-optimized ZnPPtS2 structure.

Summary:
The calculation puts the total energy at -17.9 eV for the cell shown. For the energy above the most stable polymorph in this dataset, the calculation gives 0 meV/atom. Its density is 5.40 g/cm³. As for the energy relative to the elements, uncorrected: 0.62 eV per atom.

Cell lengths 5.0009, 5.0009, 4.3735 Å; angles 90.00, 90.00, 90.00 degrees
Last column: nearest neighbours and their distance in Å.
Space group P4/mmm (No. 123)
Unique sites:
Zn: 0.0000 0.0000 0.0000 x1  8 S 3.32, 4 P 3.54
P: 0.5000 0.5000 0.0000 x1  2 Pt 2.19
Pt: 0.5000 0.5000 0.5000 x1  2 P 2.19
S: 0.0000 0.5000 0.5000 x2  2 Pt 2.50

---

No. 7
A plane-wave DFT calculation with PBE was carried out for a geometry-optimized ZrAs2Pb structure.

Summary:
The calculation puts the total energy at -23.4 eV for the cell shown. Its energy relative to the elements is -0.455 eV per atom. Its density is 8.27 g/cm³.

Cell lengths 3.5845, 3.6257, 6.9761 Å; angles 90.00, 96.80, 90.00 degrees
Last column: nearest neighbours and their distance in Å.
Space group P2/m (No. 10)
Unique sites:
Zr: 0.0000 0.0000 0.0000 x1  8 As 2.86-2.89
As: 0.4624 0.5000 0.8077 x2  1 As 2.66, 4 Zr 2.86-2.89
Pb: 0.0000 0.0000 0.5000 x1  4 As 3.13, 2 Zr 3.49

---

No. 8
A plane-wave DFT calculation with PBE was carried out for a geometry-optimized Cd2Ge2Au structure.

Summary:
The calculation puts the total energy at -25.4 eV for the cell shown. Its energy relative to the elements is 0.332 eV per atom. For the energy above the most stable polymorph in this dataset, the calculation gives 242 meV/atom. Its density is 8.38 g/cm³.

Cell lengths 4.3563, 4.3563, 11.8414 Å; angles 90.00, 90.00, 90.00 degrees
Last column: nearest neighbours and their distance in Å.
Space group I4/mmm (No. 139)
Unique sites:
Cd: 0.0000 0.5000 0.2500 x4  4 Ge 2.80, 4 Cd 3.08
Ge: 0.0000 0.0000 0.1017 x4  1 Ge 2.41
Au: 0.0000 0.0000 0.5000 x2  8 Ge 3.31, 8 Cd 3.68

---

No. 9
A plane-wave DFT calculation with PBE was carried out for a geometry-optimized LaTb8Pr6 structure.

Summary:
The calculation puts the total energy at -206.4 eV for the cell shown. Its energy relative to the elements is 0.122 eV per atom. Its density is 7.25 g/cm³.

Cell lengths 9.2030, 9.2030, 21.1447 Å; angles 90.00, 90.00, 120.00 degrees
Last column: nearest neighbours and their distance in Å.
Space group R-3 (No. 148, hexagonal axes)
Unique sites:
La: 0.0000 0.0000 0.0000 x3  6 Pr 3.53, 6 Tb 3.60
Tb: 0.0000 0.0000 0.4232 x6  4 Tb 3.25-3.47, 3 Pr 3.49
Tb: 0.0796 0.5215 0.8075 x18  3 Pr 3.42-3.76, 5 Tb 3.47-3.52, 1 La 3.60
Pr: 0.0576 0.8111 0.7105 x18  4 Tb 3.42-3.76, 1 La 3.53, 2 Pr 3.56

---

No. 10
A plane-wave DFT calculation with PBE was carried out for a geometry-optimized Na2PaInO6 structure.

Summary:
The calculation puts the total energy at -193.5 eV for the cell shown. Its density is 5.65 g/cm³. As for the energy relative to the elements, uncorrected: -1.99 eV per atom.

Cell lengths 5.8270, 5.8270, 14.6289 Å; angles 90.00, 90.00, 120.00 degrees
Last column: nearest neighbours and their distance in Å.
Space group R3 (No. 146, hexagonal axes)
Unique sites:
Na: 0.0000 0.0000 0.0000 x3  3 O 2.41
Na: 0.0000 0.0000 0.4953 x3  3 O 2.40
Pa: 0.0000 0.0000 0.2315 x3  6 O 2.12-2.13
In: 0.0000 0.0000 0.7324 x3  6 O 2.15-2.17
O: 0.0775 0.7432 0.3115 x9  1 Pa 2.12, 1 In 2.17
O: 0.0815 0.3441 0.8119 x9  1 Pa 2.13, 1 In 2.15

---

No. 11
A plane-wave DFT calculation with PBE was carried out for a geometry-optimized La2EuSi structure.

Summary:
The calculation puts the total energy at -79.3 eV for the cell shown. For the energy above the most stable polymorph in this dataset, the calculation gives 51 meV/atom. Its density is 4.98 g/cm³. As for the energy relative to the elements, uncorrected: -0.22 eV per atom.

Cell lengths 4.2103, 4.2103, 29.8124 Å; angles 90.00, 90.00, 120.00 degrees
Last column: nearest neighbours and their distance in Å.
Space group R-3m (No. 166, hexagonal axes)
Unique sites:
La: 0.0000 0.0000 0.2238 x6  3 Si 2.97
Eu: 0.0000 0.0000 0.0000 x3  6 La 4.07, 6 Eu 4.21
Si: 0.0000 0.0000 0.5000 x3  6 La 2.97

---

No. 12
A plane-wave DFT calculation with PBE was carried out for a geometry-optimized MnBeRe4 structure.

Summary:
The calculation puts the total energy at -235.8 eV for the cell shown. Its energy relative to the elements is 0.625 eV per atom. Its density is 14.06 g/cm³.

Cell lengths 7.2559, 7.2559, 7.2559 Å; angles 90.00, 90.00, 90.00 degrees
Last column: nearest neighbours and their distance in Å.
Space group F-43m (No. 216)
Unique sites:
Mn: 0.0000 0.0000 0.0000 x4  12 Re 3.01, 4 Be 3.14
Be: 0.2500 0.2500 0.7500 x4  12 Re 3.01, 4 Mn 3.14
Re: 0.1250 0.1250 0.3750 x16  6 Re 2.57

---

Please write out number 4 again, unchanged.
A plane-wave DFT calculation with PBE was carried out for a geometry-optimized BaMgGa2Ag structure.

Summary:
The calculation puts the total energy at -28.2 eV for the cell shown. Its energy relative to the elements is -0.335 eV per atom. Its density is 5.48 g/cm³.

Cell lengths 4.5212, 4.6571, 11.7607 Å; angles 90.00, 90.00, 90.00 degrees
Last column: nearest neighbours and their distance in Å.
Space group Imm2 (No. 44)
Unique sites:
Ba: 0.0000 0.0000 0.0000 x2  8 Ga 3.51-3.76, 4 Ag 3.54, 4 Mg 3.64-3.81
Mg: 0.0000 0.5000 0.7431 x2  2 Ag 2.78, 2 Ga 2.78
Ga: 0.0000 0.0000 0.6140 x2  2 Ga 2.73, 1 Ag 2.75, 2 Mg 2.78
Ga: 0.0000 0.5000 0.2442 x2  2 Ga 2.73, 2 Ag 2.83
Ag: 0.0000 0.0000 0.3803 x2  3 Ga 2.75-2.83, 2 Mg 2.78